(1)
Below is a relaxed Tm6Sn3Pb crystal, with properties calculated at the PBE level.

The calculation puts the calculated density at 9.49 Mg/m³. The formation energy is -0.565 eV per atom. The energy comes out at -4.82 eV/atom. The total moment is 0.00 μB/cell.

The space group is Cmcm (No. 63) and the conventional cell measures 11.3096, 11.3327 and 8.6090 Å, with angles of 90.00, 90.00 and 90.00 degrees. Symmetry generates all atoms from Tm at (0.0000, 0.1656, 0.0035), Tm at (0.1696, 0.5000, 0.0000), Tm at (0.2480, 0.2506, 0.2500), Sn at (0.0000, 0.3648, 0.2500), Sn at (0.1348, 0.0013, 0.7500) and Pb at (0.0000, 0.3622, 0.7500).

(2)
Below is a relaxed TbEr8Th4 crystal, with properties calculated at the PBE level.

The calculation puts the calculated density at 9.78 Mg/m³. The formation energy is 0.224 eV per atom. The energy comes out at -5.22 eV/atom. The total moment is 0.00 μB/cell.

The space group is R-3m (No. 166, hexagonal axes) and the conventional cell measures 7.3499, 7.3499 and 26.4011 Å, with angles of 90.00, 90.00 and 120.00 degrees. Symmetry generates all atoms from Tb at (0.0000, 0.0000, 0.0000), Er at (0.0000, 0.0000, 0.2795), Er at (0.0413, 0.5206, 0.2699), Th at (0.0000, 0.0000, 0.5000) and Th at (0.0000, 0.5000, 0.5000).

(3)
Below is a relaxed Mg4RhAu2 crystal, with properties calculated at the PBE level.

The calculation puts the calculated density at 7.51 Mg/m³. For the energy above the lowest structure with this stoichiometry, the calculation gives 0 kJ/mol of formula units. The formation energy is -0.537 eV per atom. The energy comes out at -3.43 eV/atom. The total moment is 0.00 μB/cell.

The space group is R-3m (No. 166, hexagonal axes) and the conventional cell measures 4.5317, 4.5317 and 22.1539 Å, with angles of 90.00, 90.00 and 120.00 degrees. Symmetry generates all atoms from Mg at (0.0000, 0.0000, 0.1239), Mg at (0.0000, 0.0000, 0.3739), Rh at (0.0000, 0.0000, 0.5000) and Au at (0.0000, 0.0000, 0.2486).

Copy entry 1 word for word.
Below is a relaxed Tm6Sn3Pb crystal, with properties calculated at the PBE level.

The calculation puts the calculated density at 9.49 Mg/m³. The formation energy is -0.565 eV per atom. The energy comes out at -4.82 eV/atom. The total moment is 0.00 μB/cell.

The space group is Cmcm (No. 63) and the conventional cell measures 11.3096, 11.3327 and 8.6090 Å, with angles of 90.00, 90.00 and 90.00 degrees. Symmetry generates all atoms from Tm at (0.0000, 0.1656, 0.0035), Tm at (0.1696, 0.5000, 0.0000), Tm at (0.2480, 0.2506, 0.2500), Sn at (0.0000, 0.3648, 0.2500), Sn at (0.1348, 0.0013, 0.7500) and Pb at (0.0000, 0.3622, 0.7500).